Compound: Ta2HgN
Source: Alexandria via LeMat-Bulk
Functional: PBE-GGA
Structure: optimized geometry

Calculated values
As for the distance to the lowest polymorph of the same formula: 19.74 kcal/mol of atoms. For the uncorrected formation energy, the calculation gives 1081 meV per atom.

a b c (Å): 4.4721 4.4721 4.4721
angles (deg): 60.00 60.00 60.00
Element x y z (fractional)
1 Ta 0.2500 0.2500 0.2500
2 Ta 0.7500 0.7500 0.7500
3 Hg 0.0000 0.0000 0.0000
4 N 0.5000 0.5000 0.5000